## Pa2CoO6 (PBE with a Hubbard U)

Data for a relaxed Pa2CoO6 crystal.

The structure belongs to space group P2_1/c (No. 14); the cell edges are 5.394, 5.762 and 8.858 Å and the angles 90.00°, 115.65° and 90.00°. Symmetry generates all atoms from Pa at (0.182, 0.123, 0.217), Co at (0.500, 0.000, 0.000), O at (0.151, 0.150, 0.947), O at (0.173, 0.661, 0.879) and O at (0.467, 0.077, 0.780).

As for the total magnetization: 1.0 μB per formula unit. For the calculated volume, the calculation gives 248.2 Å³ per cell. The total DFT energy (no corrections) comes out at -8.90 eV/atom. The theoretical density comes out at 8.26 Mg/m³.